1.
SnBi5Pd3 | PBE | relaxed

```
SnBi5Pd3
1.0
7.729 0.173 -0.067
2.282 7.386 -0.067
2.883 2.177 9.067
Sn Bi Pd
2 10 6
direct
0.094 0.094 0.705
0.906 0.906 0.295
0.981 0.390 0.382
0.303 0.697 0.000
0.770 0.770 0.031
0.451 0.451 0.355
0.549 0.549 0.645
0.230 0.230 0.969
0.390 0.981 0.382
0.697 0.303 0.000
0.019 0.610 0.618
0.610 0.019 0.618
0.672 0.672 0.824
0.678 0.678 0.329
0.000 0.000 0.000
0.000 0.000 0.500
0.328 0.328 0.176
0.322 0.322 0.671
```

Magnetization (μB/f.u.): 0.00
Energy of formation from the pure elements (eV/atom): -0.092
N(E_F) (states/eV/cell): 7.48


2.
Sr2Sn3BiPd4 | PBE | relaxed

```
Sr2Sn3BiPd4
1.0
-1.530 -2.542 3.676
1.585 -3.941 -2.066
9.714 1.313 4.950
Sr Sn Bi Pd
2 3 1 4
direct
0.500 0.000 0.241
0.000 0.500 0.759
0.000 0.000 0.500
0.500 0.000 0.883
0.000 0.500 0.117
0.500 0.500 0.500
0.500 0.500 0.000
0.000 0.000 0.000
0.500 0.000 0.640
0.000 0.500 0.360
```

Magnetization (μB/f.u.): 0.00
Energy of formation from the pure elements (eV/atom): -0.684
N(E_F) (states/eV/cell): 5.03


3.
Sr2Sn4BiPd3 | PBE | relaxed

```
Sr2Sn4BiPd3
1.0
4.684 0.000 0.000
0.000 4.684 0.000
0.000 0.000 11.765
Sr Sn Bi Pd
2 4 1 3
direct
0.500 0.000 0.235
0.000 0.500 0.765
0.500 0.500 0.000
0.000 0.000 0.000
0.500 0.000 0.656
0.000 0.500 0.344
0.500 0.500 0.500
0.000 0.000 0.500
0.500 0.000 0.878
0.000 0.500 0.122
```

Magnetization (μB/f.u.): 0.00
Energy of formation from the pure elements (eV/atom): -0.566
N(E_F) (states/eV/cell): 4.80


4.
Sr3SnBi2Pd9 | PBE | relaxed

```
Sr3SnBi2Pd9
1.0
6.956 0.000 0.000
-3.478 6.024 0.000
0.000 0.000 9.560
Sr Sn Bi Pd
3 1 2 9
direct
0.333 0.667 0.728
0.000 0.000 0.000
0.667 0.333 0.272
0.000 0.000 0.500
0.333 0.667 0.191
0.667 0.333 0.809
0.870 0.130 0.720
0.870 0.740 0.720
0.260 0.130 0.720
0.740 0.870 0.280
0.130 0.260 0.280
0.130 0.870 0.280
0.500 0.000 0.000
0.000 0.500 0.000
0.500 0.500 0.000
```

Magnetization (μB/f.u.): 0.00
Energy of formation from the pure elements (eV/atom): -0.360
N(E_F) (states/eV/cell): 3.26


5.
SnBi2Te2Pd7 | PBE | relaxed

```
SnBi2Te2Pd7
1.0
-1.335 -3.106 -2.148
3.766 -0.921 -1.008
2.423 -11.640 11.479
Sn Bi Te Pd
1 2 2 7
direct
0.000 0.000 0.000
0.624 0.624 0.758
0.376 0.376 0.242
0.788 0.788 0.422
0.212 0.212 0.578
0.500 0.500 0.000
0.294 0.294 0.411
0.706 0.706 0.589
0.935 0.435 0.126
0.435 0.935 0.126
0.565 0.065 0.874
0.065 0.565 0.874
```

Magnetization (μB/f.u.): 0.00
N(E_F) (states/eV/cell): 6.20
Raw formation energy (eV/atom): -0.33


6.
YSnBiPd2 | PBE | relaxed

```
YSnBiPd2
1.0
-4.805 -0.175 1.090
1.291 -1.470 5.456
0.112 4.765 1.257
Y Bi Pd Sn
1 1 2 1
direct
0.500 0.500 0.500
0.000 0.500 0.000
0.000 0.000 0.500
0.500 0.000 0.000
0.000 0.000 0.000
```

Magnetization (μB/f.u.): 0.00
Energy of formation from the pure elements (eV/atom): 0.069
N(E_F) (states/eV/cell): 2.28


7.
ZnSn2Bi2Pd7 | PBE | relaxed

```
ZnSn2Bi2Pd7
1.0
-1.800 -1.401 -3.230
3.364 0.452 -2.029
5.477 -15.302 0.059
Zn Sn Bi Pd
1 2 2 7
direct
0.000 0.000 0.000
0.715 0.715 0.414
0.285 0.285 0.586
0.677 0.677 0.755
0.323 0.323 0.245
0.500 0.500 0.000
0.202 0.202 0.424
0.798 0.798 0.576
0.910 0.409 0.124
0.409 0.910 0.124
0.591 0.090 0.876
0.090 0.591 0.876
```

Magnetization (μB/f.u.): 0.00
Energy of formation from the pure elements (eV/atom): -0.269
N(E_F) (states/eV/cell): 5.72


8.
Sr2Bi2Pd3 | PBE | relaxed

```
Sr2Bi2Pd3
1.0
4.542 0.000 0.000
-2.271 5.889 -0.133
0.000 -2.876 6.746
Sr Bi Pd
2 2 3
direct
0.868 0.736 0.244
0.132 0.264 0.756
0.848 0.696 0.754
0.152 0.304 0.246
0.500 0.000 0.000
0.601 0.202 0.426
0.399 0.798 0.574
```

Magnetization (μB/f.u.): 0.00
Energy of formation from the pure elements (eV/atom): -0.603
N(E_F) (states/eV/cell): 3.75


9.
Sr2Bi3Pd5 | PBE | relaxed

```
Sr2Bi3Pd5
1.0
-5.868 1.085 -3.195
-6.534 -5.830 2.850
-5.665 5.250 5.015
Sr Bi Pd
4 6 10
direct
0.128 0.602 0.142
0.628 0.142 0.602
0.872 0.398 0.858
0.372 0.858 0.398
0.363 0.523 0.752
0.863 0.752 0.523
0.637 0.477 0.248
0.137 0.248 0.477
0.250 0.000 0.000
0.750 0.000 0.000
0.386 0.264 0.964
0.886 0.964 0.264
0.614 0.736 0.036
0.114 0.036 0.736
0.479 0.771 0.771
0.521 0.229 0.229
0.750 0.500 0.500
0.250 0.500 0.500
0.021 0.229 0.229
0.979 0.771 0.771
```

Magnetization (μB/f.u.): 0.00
Energy of formation from the pure elements (eV/atom): -0.528
N(E_F) (states/eV/cell): 11.82


10.
Sr2Bi3Pd4 | PBE | relaxed

```
Sr2Bi3Pd4
1.0
6.623 0.000 0.000
0.000 7.665 0.000
-3.312 0.000 8.655
Sr Bi Pd
4 6 8
direct
0.101 0.588 0.201
0.899 0.412 0.799
0.399 0.088 0.799
0.601 0.912 0.201
0.000 0.000 0.000
0.500 0.500 0.000
0.510 0.750 0.519
0.990 0.250 0.481
0.490 0.250 0.481
0.010 0.750 0.519
0.676 0.750 0.852
0.824 0.250 0.148
0.324 0.250 0.148
0.176 0.750 0.852
0.166 0.992 0.332
0.834 0.008 0.668
0.334 0.492 0.668
0.666 0.508 0.332
```

Magnetization (μB/f.u.): 0.00
Energy of formation from the pure elements (eV/atom): -0.581
N(E_F) (states/eV/cell): 5.73


11.
Sr2BiPd3 | PBE | relaxed

```
Sr2BiPd3
1.0
5.269 -0.150 -2.722
-3.361 4.880 -0.282
-0.295 0.052 5.726
Sr Bi Pd
2 1 3
direct
0.753 0.377 0.130
0.247 0.623 0.870
0.000 0.000 0.000
0.500 0.500 0.500
0.000 0.000 0.500
0.500 0.000 0.500
```

Magnetization (μB/f.u.): 0.00
Energy of formation from the pure elements (eV/atom): -0.619
N(E_F) (states/eV/cell): 2.38


12.
SrBiPd2 | PBE | relaxed

```
SrBiPd2
1.0
-3.448 1.337 -0.829
-1.824 -2.233 3.985
0.918 4.025 2.675
Sr Bi Pd
1 1 2
direct
0.500 0.000 0.000
0.500 0.500 0.500
0.000 0.000 0.500
0.000 0.500 0.000
```

Magnetization (μB/f.u.): 0.00
Energy of formation from the pure elements (eV/atom): -0.476
N(E_F) (states/eV/cell): 1.43


13.
SrBi2Pd2 | PBE | relaxed

```
SrBi2Pd2
1.0
8.195 0.000 0.000
0.000 8.195 0.000
0.000 0.000 3.691
Sr Bi Pd
2 4 4
direct
0.000 0.000 0.000
0.500 0.500 0.000
0.163 0.663 0.500
0.663 0.837 0.500
0.837 0.337 0.500
0.337 0.163 0.500
0.376 0.876 0.000
0.876 0.624 0.000
0.624 0.124 0.000
0.124 0.376 0.000
```

Magnetization (μB/f.u.): 0.00
Energy of formation from the pure elements (eV/atom): -0.431
N(E_F) (states/eV/cell): 6.77


14.
Sr3Bi2Pd4 | PBE | relaxed

```
Sr3Bi2Pd4
1.0
-0.323 -2.066 -4.298
-0.224 -3.913 4.555
-8.982 1.883 -0.231
Sr Bi Pd
3 2 4
direct
0.372 0.745 0.615
0.000 0.000 0.000
0.628 0.255 0.385
0.327 0.655 0.220
0.673 0.345 0.780
0.738 0.476 0.086
0.081 0.161 0.627
0.919 0.839 0.373
0.262 0.524 0.914
```

Magnetization (μB/f.u.): 0.00
Energy of formation from the pure elements (eV/atom): -0.668
N(E_F) (states/eV/cell): 3.77


15.
Sr2BiPd3 | PBE | relaxed

```
Sr2BiPd3
1.0
4.904 0.000 0.000
0.000 5.796 0.000
-2.452 -2.898 5.602
Sr Bi Pd
2 1 3
direct
0.682 0.182 0.365
0.318 0.818 0.635
0.000 0.500 0.000
0.376 0.376 0.751
0.000 0.000 0.000
0.624 0.624 0.249
```

Magnetization (μB/f.u.): 0.00
Energy of formation from the pure elements (eV/atom): -0.408
N(E_F) (states/eV/cell): 3.05


16.
SrBiPd4 | PBE | relaxed

```
SrBiPd4
1.0
-0.520 5.652 3.372
-5.163 -2.447 3.307
4.762 -2.774 5.383
Sr Bi Pd
2 2 8
direct
0.500 0.000 0.500
0.000 0.500 0.500
0.500 0.500 0.000
0.000 0.000 0.000
0.637 0.137 0.000
0.863 0.637 0.000
0.137 0.363 0.000
0.363 0.863 0.000
0.000 0.000 0.334
0.500 0.500 0.666
0.000 0.000 0.666
0.500 0.500 0.334
```

Magnetization (μB/f.u.): 0.00
Energy of formation from the pure elements (eV/atom): 0.121
N(E_F) (states/eV/cell): 4.41


17.
SrBiPd4 | PBE | relaxed

```
SrBiPd4
1.0
5.538 0.000 0.000
2.769 4.796 0.000
2.769 1.599 4.522
Sr Bi Pd
1 1 4
direct
0.000 0.000 0.000
0.250 0.250 0.250
0.624 0.624 0.127
0.624 0.127 0.624
0.624 0.624 0.624
0.127 0.624 0.624
```

Magnetization (μB/f.u.): 0.00
Energy of formation from the pure elements (eV/atom): -0.398
N(E_F) (states/eV/cell): 4.18


18.
SrBiPd | PBE | relaxed

```
SrBiPd
1.0
-4.976 -0.088 4.962
0.813 -6.804 0.695
4.592 4.510 4.685
Sr Bi Pd
4 4 4
direct
0.165 0.336 0.103
0.335 0.836 0.603
0.835 0.664 0.897
0.665 0.164 0.397
0.683 0.193 0.971
0.317 0.807 0.029
0.183 0.307 0.529
0.817 0.693 0.471
0.564 0.628 0.192
0.436 0.372 0.808
0.936 0.128 0.692
0.064 0.872 0.308
```

Magnetization (μB/f.u.): 0.00
Energy of formation from the pure elements (eV/atom): -0.695
N(E_F) (states/eV/cell): 6.68


19.
SrBi2Pd2 | PBE | relaxed

```
SrBi2Pd2
1.0
8.514 0.000 0.000
0.000 8.514 0.000
0.000 0.000 3.419
Sr Bi Pd
2 4 4
direct
0.000 0.000 0.000
0.500 0.500 0.000
0.358 0.858 0.000
0.858 0.642 0.000
0.642 0.142 0.000
0.142 0.358 0.000
0.152 0.652 0.500
0.652 0.848 0.500
0.848 0.348 0.500
0.348 0.152 0.500
```

Magnetization (μB/f.u.): 0.00
Energy of formation from the pure elements (eV/atom): -0.348
N(E_F) (states/eV/cell): 5.24


20.
SrBi3Pd | PBE | relaxed

```
SrBi3Pd
1.0
-1.191 5.436 -3.654
-5.232 1.322 3.673
4.042 3.828 4.378
Sr Bi Pd
2 6 2
direct
0.427 0.351 0.701
0.927 0.002 0.201
0.359 0.285 0.201
0.467 0.861 0.956
0.967 0.492 0.456
0.859 0.068 0.701
0.967 0.492 0.945
0.467 0.861 0.445
0.159 0.777 0.701
0.659 0.576 0.201
```

Magnetization (μB/f.u.): 0.00
Energy of formation from the pure elements (eV/atom): -0.443
N(E_F) (states/eV/cell): 4.17